Record 1
Density functional theory data (PBE) for Th4Pd7Pt6 after structural relaxation.

Cell and atoms, written as POSCAR:
```
Th4Pd7Pt6
1.0
-4.338 4.338 4.338
4.338 -4.338 4.338
4.338 4.338 -4.338
Th Pd Pt
4 7 6
direct
0.000 0.000 0.500
0.000 0.500 0.000
0.500 0.000 0.000
0.500 0.500 0.500
0.000 0.000 0.000
0.250 0.500 0.750
0.250 0.750 0.500
0.500 0.250 0.750
0.500 0.750 0.250
0.750 0.250 0.500
0.750 0.500 0.250
0.000 0.299 0.299
0.000 0.701 0.701
0.299 0.000 0.299
0.299 0.299 0.000
0.701 0.000 0.701
0.701 0.701 0.000
```

Values from the calculation:
Its density of states at the Fermi level is 6.84 states/eV per cell.

Record 2
Density functional theory data (PBE) for Th3Pd7Pt2 after structural relaxation.

Cell and atoms, written as POSCAR:
```
Th3Pd7Pt2
1.0
2.971 -2.971 0.000
2.971 2.971 0.000
-2.959 0.000 12.862
Th Pd Pt
3 7 2
direct
0.000 0.000 0.000
0.168 0.168 0.335
0.832 0.832 0.665
0.081 0.581 0.162
0.250 0.750 0.500
0.419 0.919 0.838
0.500 0.500 0.000
0.581 0.081 0.162
0.750 0.250 0.500
0.919 0.419 0.838
0.338 0.338 0.676
0.662 0.662 0.324
```

Values from the calculation:
Its density of states at the Fermi level is 1.70 states/eV per cell.

Record 3
Density functional theory data (PBE) for ThPdPt3 after structural relaxation.

Cell and atoms, written as POSCAR:
```
ThPdPt3
1.0
2.535 -8.686 0.000
2.535 8.686 0.000
0.000 0.000 5.084
Th Pd Pt
2 2 6
direct
0.091 0.909 0.750
0.909 0.091 0.250
0.366 0.634 0.750
0.634 0.366 0.250
0.030 0.484 0.250
0.484 0.030 0.750
0.500 0.500 0.000
0.500 0.500 0.500
0.516 0.970 0.250
0.970 0.516 0.750
```

Values from the calculation:
Its energy above the most stable polymorph in this dataset is 36.2 kJ per mole of atoms. Its density of states at the Fermi level is 8.51 states/eV per cell.

Which energy relative to the elements belongs to each record? In order, -15.30 -11.75 -1.68 eV/f.u..